## TmBPb (PBE)

Data for a geometry-optimized TmBPb structure.

Energy relative to the lowest polymorph listed for this composition ... 0 meV per atom
Calculated total energy ... -4.573 eV per atom
Crystal system ... cubic

Lattice parameters (Å, degrees): 6.3147 6.3147 6.3147 90.00 90.00 90.00
Closest atoms and distances in Å follow each position.
Space group F-43m (No. 216)
Inequivalent atoms, fractional coordinates:
Tm (0.0000, 0.0000, 0.0000) x4  4 B 2.73
B (0.2500, 0.2500, 0.7500) x4  4 Pb 2.73, 4 Tm 2.73
Pb (0.0000, 0.0000, 0.5000) x4  4 B 2.73